(1)
Compound: V3MoW
Source: Alexandria
Functional: PBE
Structure: optimized geometry

**Space group**: C2/c (15)
**Formation energy from the elements**: 6.1 kcal/mol of atoms
**Energy relative to the lowest polymorph listed for this composition**: 353 meV per atom

```
V3MoW
1.0
6.047 -0.114 -0.093
-0.132 7.417 1.046
-0.132 2.530 7.050
V Mo W
12 4 4
direct
0.397 0.316 0.814 V
0.103 0.186 0.684 V
0.603 0.684 0.186 V
0.897 0.814 0.316 V
0.953 0.738 0.955 V
0.547 0.045 0.262 V
0.047 0.262 0.045 V
0.453 0.955 0.738 V
0.438 0.296 0.389 V
0.062 0.611 0.704 V
0.562 0.704 0.611 V
0.938 0.389 0.296 V
0.687 0.435 0.985 Mo
0.813 0.015 0.565 Mo
0.313 0.565 0.015 Mo
0.187 0.985 0.435 Mo
0.250 0.943 0.057 W
0.750 0.057 0.943 W
0.250 0.585 0.415 W
0.750 0.415 0.585 W
```


(2)
Compound: Dy6AgS4
Source: Alexandria
Functional: PBE
Structure: optimized geometry

**Space group**: Cmcm (63)
**Energy relative to the elements, uncorrected**: -1523 meV/atom

```
Dy6AgS4
1.0
-2.929 1.763 -1.901
-2.472 -2.048 5.936
5.248 17.635 8.271
Dy Ag S
12 2 8
direct
0.500 0.000 0.000 Dy
0.500 0.000 0.500 Dy
0.045 0.090 0.339 Dy
0.955 0.910 0.661 Dy
0.955 0.910 0.839 Dy
0.045 0.090 0.161 Dy
0.773 0.546 0.415 Dy
0.227 0.454 0.585 Dy
0.227 0.454 0.915 Dy
0.773 0.546 0.085 Dy
0.335 0.669 0.250 Dy
0.665 0.331 0.750 Dy
0.660 0.320 0.250 Ag
0.340 0.680 0.750 Ag
0.862 0.724 0.539 S
0.409 0.818 0.122 S
0.138 0.276 0.461 S
0.591 0.182 0.878 S
0.862 0.724 0.961 S
0.138 0.276 0.039 S
0.591 0.182 0.622 S
0.409 0.818 0.378 S
```


(3)
Compound: YRe2Si
Source: Alexandria
Functional: PBE
Structure: optimized geometry

**Space group**: Imm2 (44)
**Energy relative to the elements, uncorrected**: 170 meV/atom

```
YRe2Si
1.0
5.491 -0.004 -0.003
2.714 4.774 0.003
-3.611 -3.231 2.584
Re Si Y
2 1 1
direct
0.979 0.979 0.000 Re
0.746 0.246 0.500 Re
0.528 0.528 0.000 Si
0.247 0.747 0.500 Y
```